No. 1
A relaxed CaMnAl2 crystal, computed with PBEsol.

a = 2.974 Å, b = 4.247 Å, c = 6.135 Å
α = 90.00°, β = 89.87°, γ = 90.00°
Sites, in units of the cell vectors:
Mn 0.377 0.500 0.861
Ca 0.373 0.000 0.483
Al 0.875 0.000 0.948
Al 0.875 0.500 0.208

space-group type: Pm



No. 2
A relaxed CaMn2Al crystal, computed with PBEsol.

a = 2.856 Å, b = 3.925 Å, c = 6.601 Å
α = 96.64°, β = 90.00°, γ = 111.33°
Sites, in units of the cell vectors:
Ca 0.252 0.505 0.773
Mn 0.746 0.491 0.205
Mn 0.016 0.033 0.102
Al 0.486 0.971 0.420

space-group type: Cm



No. 3
A relaxed CaMn4Al8 crystal, computed with PBEsol.

a = 4.904 Å, b = 6.642 Å, c = 6.642 Å
α = 82.17°, β = 68.34°, γ = 68.34°
Sites, in units of the cell vectors:
Ca 0.000 0.000 0.000
Mn 0.500 0.000 0.500
Mn 0.000 0.500 0.000
Mn 0.000 0.000 0.500
Mn 0.500 0.500 0.000
Al 0.661 0.339 0.339
Al 0.722 0.778 0.778
Al 0.000 0.661 0.339
Al 0.000 0.339 0.661
Al 0.278 0.222 0.222
Al 0.500 0.778 0.222
Al 0.500 0.222 0.778
Al 0.339 0.661 0.661

space-group type: I4/mmm



No. 4
A relaxed CaMnAl4 crystal, computed with PBEsol.

a = 5.358 Å, b = 5.358 Å, c = 5.358 Å
α = 60.00°, β = 60.00°, γ = 60.00°
Sites, in units of the cell vectors:
Al 0.375 0.375 0.375
Al 0.375 0.375 0.875
Al 0.875 0.375 0.375
Al 0.375 0.875 0.375
Ca 0.750 0.750 0.750
Mn 0.000 0.000 0.000

space-group type: F-43m



Number 1: formation enthalpy at 0 K 41 kJ/mol of formula units. Number 2: formation enthalpy at 0 K 112 kJ/mol of formula units. Number 3: formation enthalpy at 0 K -298 kJ/mol of formula units. Number 4: formation enthalpy at 0 K 25 kJ/mol of formula units.